1.
The following is a DFT calculation (SCAN) of a crystal of Te2MoOsI relaxed with PBEsol.

Cell: 5.1507 5.1507 5.3126 Å, 90.00 90.00 90.00°
Site moments in Bohr magnetons follow the coordinates.
Fractional coordinates of all 5 atoms:
I 0.0000 0.0000 0.5000  0.05
Os 0.5000 0.5000 0.5000  2.88
Te 0.5000 0.0000 0.0000  0.12
Te 0.0000 0.5000 0.0000  0.12
Mo 0.0000 0.0000 0.0000  -1.41

The space-group type is No. 123. Its density of states at the Fermi level is 5.65 states/eV per cell. The total energy is -41.90 eV/atom. The calculation puts the formation energy without anion corrections at 39.2 kcal/mol of atoms. The theoretical density comes out at 7.87 g/cm³.


2.
The following is a DFT calculation (SCAN) of a crystal of KHgAu2 relaxed with PBEsol.

Cell: 4.9868 4.9868 4.9868 Å, 60.00 60.00 60.00°
Fractional coordinates of all 4 atoms:
Au 0.7500 0.7500 0.7500
Au 0.0000 0.0000 0.0000
K 0.2500 0.2500 0.2500
Hg 0.5000 0.5000 0.5000

The space-group type is No. 216. Its density of states at the Fermi level is 1.11 states/eV per cell. For the formation energy, the calculation gives -0.05 eV per atom. The total energy is -53.75 eV/atom. The theoretical density comes out at 12.00 g/cm³.


3.
The following is a DFT calculation (SCAN) of a crystal of IrPbSe3 relaxed with PBEsol.

Cell: 5.2322 5.2322 5.2322 Å, 90.00 90.00 90.00°
Site moments in Bohr magnetons follow the coordinates.
Fractional coordinates of all 5 atoms:
Se 0.0000 0.0000 0.5000  0.20
Se 0.0000 0.5000 0.0000  0.20
Se 0.5000 0.0000 0.0000  0.20
Pb 0.0000 0.0000 0.0000  0.01
Ir 0.5000 0.5000 0.5000  2.54

The space-group type is No. 221. Its density of states at the Fermi level is 4.50 states/eV per cell. The total energy is -39.79 eV/atom. The calculation puts the formation energy without anion corrections at 37.7 kcal/mol of atoms. The theoretical density comes out at 7.38 g/cm³.